First-principles (PBE) data for a relaxed structure of ScFeOsPb, as listed in OQMD.

Cell: 6.4523 6.4523 6.4523 Å, 90.00 90.00 90.00°
Closest atoms and distances in Å follow each position.
Element x y z (fractional)
Sc 0.0000 0.0000 0.0000  4 Fe 2.79, 4 Os 2.79
Sc 0.0000 0.5000 0.5000  4 Fe 2.79, 4 Os 2.79
Sc 0.5000 0.0000 0.5000  4 Fe 2.79, 4 Os 2.79
Sc 0.5000 0.5000 0.0000  4 Fe 2.79, 4 Os 2.79
Fe 0.2500 0.2500 0.7500  4 Pb 2.79, 4 Sc 2.79
Fe 0.2500 0.7500 0.2500  4 Pb 2.79, 4 Sc 2.79
Fe 0.7500 0.2500 0.2500  4 Pb 2.79, 4 Sc 2.79
Fe 0.7500 0.7500 0.7500  4 Pb 2.79, 4 Sc 2.79
Os 0.2500 0.2500 0.2500  4 Pb 2.79, 4 Sc 2.79
Os 0.2500 0.7500 0.7500  4 Pb 2.79, 4 Sc 2.79
Os 0.7500 0.2500 0.7500  4 Pb 2.79, 4 Sc 2.79
Os 0.7500 0.7500 0.2500  4 Pb 2.79, 4 Sc 2.79
Pb 0.0000 0.0000 0.5000  4 Os 2.79, 4 Fe 2.79
Pb 0.0000 0.5000 0.0000  4 Os 2.79, 4 Fe 2.79
Pb 0.5000 0.0000 0.0000  4 Os 2.79, 4 Fe 2.79
Pb 0.5000 0.5000 0.5000  4 Os 2.79, 4 Fe 2.79

First-principles (PBE) data for a relaxed structure of LuTlZnS3, as listed in OQMD.

Cell: 9.9443 3.9098 14.7078 Å, 90.00 90.00 90.00°
Closest atoms and distances in Å follow each position.
Element x y z (fractional)
Lu 0.1678 0.2500 0.0585  6 S 2.55-2.79
Lu 0.3322 0.7500 0.5585  6 S 2.55-2.79
Lu 0.6678 0.2500 0.4415  6 S 2.55-2.79
Lu 0.8322 0.7500 0.9415  6 S 2.55-2.79
Tl 0.0113 0.7500 0.3265  4 S 3.09-3.38
Tl 0.4887 0.2500 0.8265  4 S 3.09-3.38
Tl 0.5113 0.7500 0.1735  4 S 3.09-3.38
Tl 0.9887 0.2500 0.6735  4 S 3.09-3.38
Zn 0.1693 0.7500 0.8631  4 S 2.25-2.50
Zn 0.3307 0.2500 0.3631  4 S 2.25-2.50
Zn 0.6693 0.7500 0.6369  4 S 2.25-2.50
Zn 0.8307 0.2500 0.1369  4 S 2.25-2.50
S 0.0214 0.2500 0.8970  2 Zn 2.50, 3 Lu 2.79
S 0.1886 0.2500 0.4873  1 Zn 2.31
S 0.2211 0.7500 0.7145  1 Zn 2.25
S 0.2789 0.2500 0.2145  1 Zn 2.25
S 0.3114 0.7500 0.9873  1 Zn 2.31
S 0.4786 0.7500 0.3970  2 Zn 2.50, 3 Lu 2.79
S 0.5214 0.2500 0.6030  2 Zn 2.50, 3 Lu 2.79
S 0.6886 0.2500 0.0127  1 Zn 2.31
S 0.7211 0.7500 0.7855  1 Zn 2.25
S 0.7789 0.2500 0.2855  1 Zn 2.25
S 0.8114 0.7500 0.5127  1 Zn 2.31
S 0.9786 0.7500 0.1030  2 Zn 2.50, 3 Lu 2.79

First-principles (PBE) data for a relaxed structure of LiFe3As5, as listed in OQMD.

Cell: 4.9764 4.9764 7.5876 Å, 90.00 90.00 120.00°
Closest atoms and distances in Å follow each position.
Element x y z (fractional)
Li 0.0000 0.0000 0.0000  12 As 3.36
Fe 0.0000 0.5000 0.5000  6 As 2.49-2.51, 4 Fe 2.49
Fe 0.5000 0.0000 0.5000  4 Fe 2.49, 6 As 2.49-2.51
Fe 0.5000 0.5000 0.5000  6 As 2.49-2.51, 4 Fe 2.49
As 0.0000 0.0000 0.5000  6 Fe 2.49
As 0.3333 0.6667 0.2294  3 Fe 2.51
As 0.3333 0.6667 0.7706  3 Fe 2.51
As 0.6667 0.3333 0.2294  3 Fe 2.51
As 0.6667 0.3333 0.7706  3 Fe 2.51

First-principles (PBE) data for a relaxed structure of Tb5GdCd2, as listed in OQMD.

Values from the calculation:
energy relative to the elements	-0.105	eV/atom

Cell: 5.4777 6.9393 12.0169 Å, 90.00 90.00 90.00°
Closest atoms and distances in Å follow each position.
Element x y z (fractional)
Tb 0.0000 0.0000 0.0000  4 Cd 3.36-3.47, 8 Tb 3.36-3.58
Tb 0.0000 0.2420 0.2421  4 Cd 3.36-3.47, 6 Tb 3.36-3.58, 2 Gd 3.43
Tb 0.0000 0.2580 0.7421  4 Cd 3.36-3.47, 6 Tb 3.36-3.58, 2 Gd 3.43
Tb 0.0000 0.5000 0.5000  4 Cd 3.36-3.47, 8 Tb 3.36-3.58
Tb 0.0000 0.7420 0.7421  4 Cd 3.36-3.47, 6 Tb 3.36-3.58, 2 Gd 3.43
Tb 0.0000 0.7580 0.2421  4 Cd 3.36-3.47, 6 Tb 3.36-3.58, 2 Gd 3.43
Tb 0.5000 0.2421 0.4141  4 Cd 3.35-3.47, 2 Gd 3.36-3.58, 6 Tb 3.36-3.58
Tb 0.5000 0.2579 0.9141  4 Cd 3.35-3.47, 2 Gd 3.36-3.58, 6 Tb 3.36-3.58
Tb 0.5000 0.7421 0.9141  4 Cd 3.35-3.47, 2 Gd 3.36-3.58, 6 Tb 3.36-3.58
Tb 0.5000 0.7579 0.4141  4 Cd 3.35-3.47, 2 Gd 3.36-3.58, 6 Tb 3.36-3.58
Gd 0.5000 0.0000 0.6558  8 Tb 3.36-3.58, 4 Cd 3.36-3.47
Gd 0.5000 0.5000 0.1558  8 Tb 3.36-3.58, 4 Cd 3.36-3.47
Cd 0.0000 0.0000 0.4943  10 Tb 3.35-3.47, 2 Gd 3.36
Cd 0.0000 0.5000 0.9943  10 Tb 3.35-3.47, 2 Gd 3.36
Cd 0.5000 0.0000 0.1614  10 Tb 3.36-3.47, 2 Gd 3.47
Cd 0.5000 0.5000 0.6614  10 Tb 3.36-3.47, 2 Gd 3.47

First-principles (PBE) data for a relaxed structure of PuBeNi, as listed in OQMD.

Cell: 5.7300 5.7300 5.7300 Å, 90.00 90.00 90.00°
Closest atoms and distances in Å follow each position.
Element x y z (fractional)
Pu 0.0000 0.0000 0.0000  4 Be 2.48
Pu 0.0000 0.5000 0.5000  4 Be 2.48
Pu 0.5000 0.0000 0.5000  4 Be 2.48
Pu 0.5000 0.5000 0.0000  4 Be 2.48
Be 0.2500 0.2500 0.7500  4 Ni 2.48, 4 Pu 2.48
Be 0.2500 0.7500 0.2500  4 Ni 2.48, 4 Pu 2.48
Be 0.7500 0.2500 0.2500  4 Ni 2.48, 4 Pu 2.48
Be 0.7500 0.7500 0.7500  4 Ni 2.48, 4 Pu 2.48
Ni 0.0000 0.0000 0.5000  4 Be 2.48
Ni 0.0000 0.5000 0.0000  4 Be 2.48
Ni 0.5000 0.0000 0.0000  4 Be 2.48
Ni 0.5000 0.5000 0.5000  4 Be 2.48

First-principles (PBE) data for a relaxed structure of TaZnFeAu, as listed in OQMD.

Values from the calculation:
energy relative to the elements	0.189	eV/atom

Cell: 6.3021 6.3021 6.3021 Å, 90.00 90.00 90.00°
Closest atoms and distances in Å follow each position.
Element x y z (fractional)
Ta 0.0000 0.0000 0.0000  4 Zn 2.73, 4 Au 2.73
Ta 0.0000 0.5000 0.5000  4 Zn 2.73, 4 Au 2.73
Ta 0.5000 0.0000 0.5000  4 Zn 2.73, 4 Au 2.73
Ta 0.5000 0.5000 0.0000  4 Zn 2.73, 4 Au 2.73
Zn 0.2500 0.2500 0.2500  4 Ta 2.73, 4 Fe 2.73
Zn 0.2500 0.7500 0.7500  4 Ta 2.73, 4 Fe 2.73
Zn 0.7500 0.2500 0.7500  4 Ta 2.73, 4 Fe 2.73
Zn 0.7500 0.7500 0.2500  4 Ta 2.73, 4 Fe 2.73
Fe 0.0000 0.0000 0.5000  4 Au 2.73, 4 Zn 2.73
Fe 0.0000 0.5000 0.0000  4 Au 2.73, 4 Zn 2.73
Fe 0.5000 0.0000 0.0000  4 Au 2.73, 4 Zn 2.73
Fe 0.5000 0.5000 0.5000  4 Zn 2.73, 4 Au 2.73
Au 0.2500 0.2500 0.7500  4 Ta 2.73, 4 Fe 2.73
Au 0.2500 0.7500 0.2500  4 Ta 2.73, 4 Fe 2.73
Au 0.7500 0.2500 0.2500  4 Ta 2.73, 4 Fe 2.73
Au 0.7500 0.7500 0.7500  4 Fe 2.73, 4 Ta 2.73

First-principles (PBE) data for a relaxed structure of RbCuNiTe, as listed in OQMD.

Cell: 7.2244 7.2244 7.2244 Å, 90.00 90.00 90.00°
Closest atoms and distances in Å follow each position.
Element x y z (fractional)
Rb 0.0000 0.0000 0.0000  4 Ni 3.13, 4 Te 3.13
Rb 0.0000 0.5000 0.5000  4 Ni 3.13, 4 Te 3.13
Rb 0.5000 0.0000 0.5000  4 Ni 3.13, 4 Te 3.13
Rb 0.5000 0.5000 0.0000  4 Ni 3.13, 4 Te 3.13
Cu 0.0000 0.0000 0.5000  4 Te 3.13, 4 Ni 3.13
Cu 0.0000 0.5000 0.0000  4 Te 3.13, 4 Ni 3.13
Cu 0.5000 0.0000 0.0000  4 Te 3.13, 4 Ni 3.13
Cu 0.5000 0.5000 0.5000  4 Te 3.13, 4 Ni 3.13
Ni 0.2500 0.2500 0.7500  4 Rb 3.13, 4 Cu 3.13
Ni 0.2500 0.7500 0.2500  4 Rb 3.13, 4 Cu 3.13
Ni 0.7500 0.2500 0.2500  4 Rb 3.13, 4 Cu 3.13
Ni 0.7500 0.7500 0.7500  4 Rb 3.13, 4 Cu 3.13
Te 0.2500 0.2500 0.2500  4 Rb 3.13, 4 Cu 3.13
Te 0.2500 0.7500 0.7500  4 Rb 3.13, 4 Cu 3.13
Te 0.7500 0.2500 0.7500  4 Rb 3.13, 4 Cu 3.13
Te 0.7500 0.7500 0.2500  4 Rb 3.13, 4 Cu 3.13

First-principles (PBE) data for a relaxed structure of AcTcHg, as listed in OQMD.

Values from the calculation:
energy relative to the elements	0.725	eV/atom

Cell: 7.0835 7.0835 7.0835 Å, 90.00 90.00 90.00°
Closest atoms and distances in Å follow each position.
Element x y z (fractional)
Ac 0.0000 0.0000 0.0000  4 Hg 3.07
Ac 0.0000 0.5000 0.5000  4 Hg 3.07
Ac 0.5000 0.0000 0.5000  4 Hg 3.07
Ac 0.5000 0.5000 0.0000  4 Hg 3.07
Tc 0.0000 0.0000 0.5000  4 Hg 3.07
Tc 0.0000 0.5000 0.0000  4 Hg 3.07
Tc 0.5000 0.0000 0.0000  4 Hg 3.07
Tc 0.5000 0.5000 0.5000  4 Hg 3.07
Hg 0.2500 0.2500 0.2500  4 Ac 3.07, 4 Tc 3.07
Hg 0.2500 0.7500 0.7500  4 Ac 3.07, 4 Tc 3.07
Hg 0.7500 0.2500 0.7500  4 Ac 3.07, 4 Tc 3.07
Hg 0.7500 0.7500 0.2500  4 Ac 3.07, 4 Tc 3.07

First-principles (PBE) data for a relaxed structure of Lu2Ga8Ir, as listed in OQMD.

Cell: 4.2839 4.2839 11.0083 Å, 90.00 90.00 90.00°
Closest atoms and distances in Å follow each position.
Element x y z (fractional)
Lu 0.0000 0.0000 0.1905  12 Ga 2.95-3.03
Lu 0.0000 0.0000 0.8095  12 Ga 2.95-3.03
Ga 0.0000 0.5000 0.0000  4 Lu 3.00, 8 Ga 3.01-3.03
Ga 0.0000 0.5000 0.3745  2 Ir 2.55, 1 Ga 2.76
Ga 0.0000 0.5000 0.6255  2 Ir 2.55, 1 Ga 2.76
Ga 0.5000 0.0000 0.0000  4 Lu 3.00, 8 Ga 3.01-3.03
Ga 0.5000 0.0000 0.3745  2 Ir 2.55, 1 Ga 2.76
Ga 0.5000 0.0000 0.6255  2 Ir 2.55, 1 Ga 2.76
Ga 0.5000 0.5000 0.1924  8 Ga 2.93-3.01, 4 Lu 3.03
Ga 0.5000 0.5000 0.8076  8 Ga 2.93-3.01, 4 Lu 3.03
Ir 0.0000 0.0000 0.5000  8 Ga 2.55

First-principles (PBE) data for a relaxed structure of PaCuOs, as listed in OQMD.

Values from the calculation:
energy relative to the elements	0.182	eV/atom

Cell: 6.2934 6.2934 6.2934 Å, 90.00 90.00 90.00°
Closest atoms and distances in Å follow each position.
Element x y z (fractional)
Pa 0.0000 0.0000 0.0000  4 Os 2.73
Pa 0.0000 0.5000 0.5000  4 Os 2.73
Pa 0.5000 0.0000 0.5000  4 Os 2.73
Pa 0.5000 0.5000 0.0000  4 Os 2.73
Cu 0.0000 0.0000 0.5000  4 Os 2.73
Cu 0.0000 0.5000 0.0000  4 Os 2.73
Cu 0.5000 0.0000 0.0000  4 Os 2.73
Cu 0.5000 0.5000 0.5000  4 Os 2.73
Os 0.2500 0.2500 0.7500  4 Pa 2.73, 4 Cu 2.73
Os 0.2500 0.7500 0.2500  4 Pa 2.73, 4 Cu 2.73
Os 0.7500 0.2500 0.2500  4 Pa 2.73, 4 Cu 2.73
Os 0.7500 0.7500 0.7500  4 Pa 2.73, 4 Cu 2.73

| no. | raw total energy (eV per atom) |
| --- | --- |
| 1 | -7.166 |
| 2 | -4.577 |
| 3 | -5.629 |
| 4 | -3.804 |
| 5 | -7.366 |
| 6 | -5.984 |
| 7 | -2.627 |
| 8 | -4.196 |
| 9 | -4.339 |
| 10 | -7.964 |